The following is a DFT calculation (PBE) of an optimized crystal structure of SrTcF2.

* electronic total energy: -5.17 eV/atom
* raw formation energy: -1.2218 eV/atom
* magnetic moment: 3.3 μB per formula unit
* SG: I-42d
* crystal system: tetragonal
* excess energy over the best structure of this formula in the dataset: 349.1 meV/atom

Unit cell a=4.5713 b=4.5713 c=8.0519 alpha=73.51 beta=73.51 gamma=90.00
With the nearest neighbours (Å) after each atom.
Atoms (fractional coordinates):
F 0.3750 0.3425 0.7500  2 Tc 2.39, 2 Sr 2.52
F 0.0925 0.6250 0.2500  2 Tc 2.39, 2 Sr 2.52
F 0.8750 0.9075 0.7500  2 Tc 2.39, 2 Sr 2.52
F 0.6575 0.1250 0.2500  2 Tc 2.39, 2 Sr 2.52
Sr 0.5000 0.5000 0.0000  4 F 2.52
Sr 0.2500 0.7500 0.5000  4 F 2.52
Tc 0.0000 0.0000 0.0000  4 F 2.39
Tc 0.7500 0.2500 0.5000  4 F 2.39

The following is a DFT calculation (PBE) of an optimized crystal structure of SrTc2F11.

* electronic total energy: -5.56 eV/atom
* raw formation energy: -2.4885 eV/atom
* magnetic moment: 5.0 μB per formula unit
* SG: Ibam
* crystal system: orthorhombic

Unit cell a=9.1362 b=8.4383 c=8.4383 alpha=65.42 beta=57.22 gamma=57.22
With the nearest neighbours (Å) after each atom.
Atoms (fractional coordinates):
Tc 0.3412 0.3419 0.6581  6 F 1.85-2.05
Tc 0.8412 0.1581 0.8419  6 F 1.85-2.05
Tc 0.6588 0.6581 0.3419  6 F 1.85-2.05
Tc 0.1588 0.8419 0.1581  6 F 1.85-2.05
F 0.5695 0.1062 0.6420  1 Tc 1.94
F 0.1420 0.0711 0.1806  1 Tc 1.94
F 0.0695 0.1420 0.6062  1 Tc 1.94
F 0.1064 0.5711 0.6806  1 Tc 1.94
F 0.8936 0.4289 0.3194  1 Tc 1.94
F 0.6975 0.3006 0.6994  1 Tc 1.85
F 0.8580 0.9289 0.8194  1 Tc 1.94
F 0.4305 0.8938 0.3580  1 Tc 1.94
F 0.1975 0.1994 0.8006  1 Tc 1.85
F 0.1822 0.6062 0.1420  1 Tc 1.94
F 0.9305 0.8580 0.3938  1 Tc 1.94
F 0.8025 0.8006 0.1994  1 Tc 1.85
F 0.6064 0.1806 0.0711  1 Tc 1.94
F 0.3178 0.3580 0.8938  1 Tc 1.94
F 0.5000 0.5000 0.5000  2 Tc 2.05
F 0.8178 0.3938 0.8580  1 Tc 1.94
F 0.3580 0.3194 0.4289  1 Tc 1.94
F 0.3025 0.6994 0.3006  1 Tc 1.85
F 0.0000 0.0000 0.0000  2 Tc 2.05
F 0.3936 0.8194 0.9289  1 Tc 1.94
F 0.6822 0.6420 0.1062  1 Tc 1.94
F 0.6420 0.6806 0.5711  1 Tc 1.94
Sr 0.2500 0.2500 0.2500  8 F 2.56
Sr 0.7500 0.7500 0.7500  8 F 2.56

The following is a DFT calculation (PBE) of an optimized crystal structure of SrTe3F.

* electronic total energy: -2.47 eV/atom
* raw formation energy: 0.1211 eV/atom
* magnetic moment: 5.0 μB per formula unit
* SG: Pm-3m
* crystal system: cubic
* excess energy over the best structure of this formula in the dataset: 902.0 meV/atom

Unit cell a=6.4591 b=6.4591 c=6.4591 alpha=90.00 beta=90.00 gamma=90.00
With the nearest neighbours (Å) after each atom.
Atoms (fractional coordinates):
F 0.5000 0.5000 0.5000  12 Te 4.57
Te 0.0000 0.0000 0.5000  2 Sr 3.23
Te 0.5000 0.0000 0.0000  2 Sr 3.23
Te 0.0000 0.5000 0.0000  2 Sr 3.23
Sr 0.0000 0.0000 0.0000  6 Te 3.23

The following is a DFT calculation (PBE) of an optimized crystal structure of SrTeF3.

* electronic total energy: -3.81 eV/atom
* raw formation energy: -1.7188 eV/atom
* magnetic moment: 0.0 μB per formula unit
* SG: Pm-3m
* crystal system: cubic
* excess energy over the best structure of this formula in the dataset: 530.6 meV/atom

Unit cell a=4.8340 b=4.8340 c=4.8340 alpha=90.00 beta=90.00 gamma=90.00
With the nearest neighbours (Å) after each atom.
Atoms (fractional coordinates):
F 0.0000 0.5000 0.0000  2 Te 2.42
F 0.5000 0.0000 0.0000  2 Te 2.42
F 0.0000 0.0000 0.5000  2 Te 2.42
Sr 0.5000 0.5000 0.5000  12 F 3.42
Te 0.0000 0.0000 0.0000  6 F 2.42